# 1
Density functional theory data (PBE) for crystalline Ca4FeTc at its relaxed geometry.

Geometry as extended XYZ:
```
6
Lattice="0.000 4.388 4.388 4.388 0.000 4.388 4.388 4.388 0.000" Properties=species:S:1:pos:R:3 pbc="T T T"
Ca 1.101 1.101 1.101
Ca 3.287 3.287 1.101
Ca 3.287 1.101 3.287
Ca 1.101 3.287 3.287
Fe 6.582 6.582 6.582
Tc 4.388 4.388 4.388
```

Calculated values
Space-group type: F-43m (216)
Energy of formation (meV per atom): 1286

---

# 2
Density functional theory data (PBE) for crystalline Ce2TmRu2 at its relaxed geometry.

Geometry as extended XYZ:
```
20
Lattice="10.293 0.000 0.000 0.000 6.716 0.000 -0.840 0.000 6.818" Properties=species:S:1:pos:R:3 pbc="T T T"
Ce 0.040 1.638 0.562
Ce -0.380 1.719 3.971
Ce 2.936 4.787 3.665
Ce 3.356 5.286 0.257
Ce 6.098 1.429 6.561
Ce 6.518 1.929 3.152
Ce 9.834 4.996 2.847
Ce 9.414 5.077 6.256
Tm 3.028 1.429 3.068
Tm 2.608 1.929 6.477
Tm 6.845 4.787 0.341
Tm 6.425 5.287 3.750
Ru 1.084 6.715 4.912
Ru 1.504 3.358 1.503
Ru 4.868 3.394 1.822
Ru 4.448 6.680 5.231
Ru 5.006 0.036 1.587
Ru 4.586 3.322 4.996
Ru 8.369 0.000 1.905
Ru 7.949 3.358 5.314
```

Calculated values
Space-group type: P2_1/c (14)
Energy relative to the lowest polymorph listed for this composition (eV/f.u.): 0.00
Energy of formation (meV per atom): -330

---

# 3
Density functional theory data (PBE) for crystalline CaHo2Ag4 at its relaxed geometry.

Geometry as extended XYZ:
```
7
Lattice="-3.741 3.741 3.270 3.741 -3.741 3.270 3.741 3.741 -3.270" Properties=species:S:1:pos:R:3 pbc="T T T"
Ca 0.000 0.000 0.000
Ho 3.741 0.000 0.000
Ho 0.000 3.741 0.000
Ag 1.870 1.870 -1.635
Ag 1.870 -1.870 1.635
Ag -1.870 1.870 1.635
Ag 1.870 1.870 1.635
```

Calculated values
Space-group type: I4/mmm (139)
Energy of formation (meV per atom): -88

---

# 4
Density functional theory data (PBE) for crystalline BeCdAs2O8 at its relaxed geometry.

Geometry as extended XYZ:
```
12
Lattice="4.829 0.000 0.000 0.000 5.693 0.000 -0.885 0.000 4.755" Properties=species:S:1:pos:R:3 pbc="T T T"
Be 0.000 0.000 0.000
Cd 0.000 2.847 0.000
As 1.972 1.399 2.377
As 1.972 4.295 2.377
O 0.789 1.214 0.937
O 0.789 4.479 0.937
O 0.999 0.000 3.179
O 1.043 2.847 3.141
O 2.902 2.847 1.614
O 2.945 0.000 1.576
O 3.155 1.214 3.818
O 3.155 4.479 3.818
```

Calculated values
Space-group type: P2/m (10)

---

# 5
Density functional theory data (PBE) for crystalline BeMoOs4 at its relaxed geometry.

Geometry as extended XYZ:
```
6
Lattice="0.000 3.597 3.597 3.597 0.000 3.597 3.597 3.597 0.000" Properties=species:S:1:pos:R:3 pbc="T T T"
Be 0.000 0.000 0.000
Mo 5.395 5.395 5.395
Os 2.693 2.693 2.693
Os 4.500 4.500 2.693
Os 4.500 2.693 4.500
Os 2.693 4.500 4.500
```

Calculated values
Space-group type: F-43m (216)
Energy of formation (meV per atom): 670

---

# 6
Density functional theory data (PBE) for crystalline TlV3Si at its relaxed geometry.

Geometry as extended XYZ:
```
5
Lattice="4.975 0.000 0.000 0.000 4.975 0.000 0.000 0.000 4.975" Properties=species:S:1:pos:R:3 pbc="T T T"
Tl 0.000 0.000 0.000
V 0.000 0.000 2.488
V 0.000 2.488 0.000
V 2.488 0.000 0.000
Si 2.488 2.488 2.488
```

Calculated values
Space-group type: Pm-3m (221)
Energy relative to the lowest polymorph listed for this composition (eV/f.u.): 6.59

---

Taking the records one at a time from the top gives energy values of -3.19, -7.31, -3.31, -5.48, -9.24, -5.10 eV per atom.